(1)
AlRuAu2: optimized geometry, PBE-GGA.

Calculated density (g/cm³): 13.39
Formation energy (eV per atom): 0.130
DOS at the Fermi energy (states/eV per atom): 0.546

a b c (Å): 2.9038 2.9038 26.5989
angles (deg): 90.00 90.00 120.00
With the nearest neighbours (Å) after each atom.
Space group R-3m (No. 166, hexagonal axes)
Symmetry-distinct sites (fractional):
Al 0.0000 0.0000 0.0000 (multiplicity 3)  6 Au 2.69, 6 Al 2.90
Ru 0.0000 0.0000 0.5000 (multiplicity 3)  6 Au 2.87, 6 Ru 2.90
Au 0.0000 0.0000 0.2541 (multiplicity 6)  3 Al 2.69, 3 Ru 2.87, 6 Au 2.90

(2)
AlRuAu: optimized geometry, PBE-GGA.

Calculated density (g/cm³): 10.65
Energy above the most stable polymorph in this dataset (eV per formula unit): 0.415
Formation energy (eV per atom): -0.056
DOS at the Fermi energy (states/eV per atom): 0.721

a b c (Å): 5.8747 5.8747 5.8747
angles (deg): 90.00 90.00 90.00
With the nearest neighbours (Å) after each atom.
Space group F-43m (No. 216)
Symmetry-distinct sites (fractional):
Al 0.0000 0.0000 0.0000 (multiplicity 4)  4 Ru 2.54, 4 Au 2.54
Ru 0.2500 0.2500 0.7500 (multiplicity 4)  4 Al 2.54
Au 0.2500 0.2500 0.2500 (multiplicity 4)  4 Al 2.54

(3)
AlRuAuSe2: optimized geometry, PBE-GGA.

Calculated density (g/cm³): 6.11
DOS at the Fermi energy (states/eV per atom): 1.027
ΔE_f (raw) (eV/atom): 1.110

a b c (Å): 5.0623 5.0623 5.1243
angles (deg): 90.00 90.00 90.00
With the nearest neighbours (Å) after each atom.
Space group P4/mmm (No. 123)
Symmetry-distinct sites (fractional):
Al 0.0000 0.0000 0.0000 (multiplicity 1)  4 Ru 3.58, 8 Se 3.60
Ru 0.5000 0.5000 0.0000 (multiplicity 1)  2 Au 2.56
Au 0.5000 0.5000 0.5000 (multiplicity 1)  4 Se 2.53, 2 Ru 2.56
Se 0.0000 0.5000 0.5000 (multiplicity 2)  2 Au 2.53